Computed, not measured: a geometry-optimized YbH4N2 structure at the GGA-PBE level of DFT.

Output
The total magnetization is 0.28 μB per formula unit. As for the space group: I4_1/amd. The value obtained for the total energy is -5.11 eV/atom. The volume is 71.4 Å³/f.u.

Structure (extended XYZ):
```
14
Lattice="-3.6504 0.0439 -5.3359 -2.6624 -5.7987 -1.0427 0.2498 3.8528 5.1859" Properties=species:S:1:pos:R:3 pbc="T T T"
H -1.2109 2.4813 2.6723
H -2.0054 -0.5982 1.7822
H -3.6857 -0.8379 0.6912
N -1.8131 1.8456 -0.1890
H -3.7194 -3.3038 -1.5053
N -4.8474 -4.4189 -4.8980
H -1.8178 1.8813 0.8439
H -5.0078 -3.4620 -4.5420
N -1.4654 -1.3358 -1.4807
Yb -3.2785 0.5097 -1.6697
H -2.2215 -1.9852 -1.2071
Yb 0.0000 0.0000 0.0000
H -4.5835 -1.7830 -3.5064
N -4.7439 -0.8261 -3.1504
```